Entry from Alexandria via LeMat-Bulk: a relaxed structure of Rb2ReTc (PBE-GGA).

The energy relative to the lowest polymorph listed for this composition is 0 kJ/mol of formula units. The calculation puts the energy of formation at 164.7 kJ/mol of atoms.

The structure belongs to space group I-42d (No. 122); the cell edges are 13.249, 13.249 and 4.580 Å and the angles 90.00°, 90.00° and 90.00°. The inequivalent atoms are Rb at (0.070, 0.250, 0.125), Re at (0.000, 0.000, 0.500) and Tc at (0.000, 0.000, 0.000).

Entry from Alexandria via LeMat-Bulk: a relaxed structure of RbReTe2 (PBE-GGA).

The energy relative to the lowest polymorph listed for this composition is 257 kJ/mol of formula units.

The structure belongs to space group Fm-3m (No. 225); the cell edges are 7.250, 7.250 and 7.250 Å and the angles 90.00°, 90.00° and 90.00°. The inequivalent atoms are Rb at (0.000, 0.000, 0.000), Re at (0.000, 0.000, 0.500) and Te at (0.250, 0.250, 0.250).

Entry from Alexandria via LeMat-Bulk: a relaxed structure of RbReTe2 (PBE-GGA).

The energy relative to the lowest polymorph listed for this composition is 280 kJ/mol of formula units.

The structure belongs to space group R-3m (No. 166, hexagonal axes); the cell edges are 3.3592, 3.3592 and 33.0260 Å and the angles 90.00°, 90.00° and 120.00°. The inequivalent atoms are Rb at (0.0000, 0.0000, 0.0000), Re at (0.0000, 0.0000, 0.5000) and Te at (0.0000, 0.0000, 0.4226).

Entry from Alexandria via LeMat-Bulk: a relaxed structure of RbReTe2 (PBE-GGA).

The energy relative to the lowest polymorph listed for this composition is 0 kJ/mol of formula units.

The structure belongs to space group I-42d (No. 122); the cell edges are 8.192, 8.192 and 8.696 Å and the angles 90.00°, 90.00° and 90.00°. The inequivalent atoms are Rb at (0.000, 0.000, 0.000), Re at (0.000, 0.000, 0.500) and Te at (0.139, 0.250, 0.625).

Number 2 is which compound?
RbReTe2

Which of these has the highest energy relative to the lowest polymorph listed for this composition?
number 3

energy relative to the lowest polymorph listed for this composition of number 2 (RbReTe2)?
257 kJ/mol of formula units